The following is a GGA-PBE calculation of a relaxed structure of Tl3HCl4, from the Alexandria database.

Values from the calculation:
The total energy comes out at -3.09 eV/atom. Its crystal system is orthorhombic. As for the total magnetic moment: 0.00 μB per formula unit.

a b c (Å): 8.299 8.023 8.273
angles (deg): 90.00 90.00 90.00
Space group Pmn2_1 (No. 31)
Asymmetric unit:
Tl  0.000  0.015  0.000 x2
Tl  0.229  0.482  0.540 x4
H  0.000  0.817  0.317 x2
Cl  0.000  0.339  0.210 x2
Cl  0.000  0.655  0.831 x2
Cl  0.188  0.820  0.305 x4